No. 1
Below is a relaxed structure of Ce3PmNd2S6, with properties calculated at the PBE level.

Results
**Theoretical density**: 6.19 g/cm3
**Formation energy (no corrections)**: -2041.3 meV/atom
**Volume**: 23.38 Å³/atom

CIF file:
```
data_Ce3PmNd2S6
_chemical_formula_sum 'Ce6 Pm2 Nd4 S12'
_cell_length_a 6.9987
_cell_length_b 12.1304
_cell_length_c 7.0100
_cell_angle_alpha 90.00
_cell_angle_beta 109.48
_cell_angle_gamma 90.00
_symmetry_space_group_name_H-M 'C 1 2/m 1'
_symmetry_Int_Tables_number 12
loop_
_symmetry_equiv_pos_as_xyz
'x,y,z'
'-x,-y,-z'
'-x,y,-z'
'x,-y,z'
'x+1/2,y+1/2,z'
'-x+1/2,-y+1/2,-z'
'-x+1/2,y+1/2,-z'
'x+1/2,-y+1/2,z'
loop_
_atom_site_label
_atom_site_type_symbol
_atom_site_fract_x
_atom_site_fract_y
_atom_site_fract_z
_atom_site_occupancy
Ce1 Ce 0.0000 0.0000 0.0000 1
Ce2 Ce 0.0000 0.3327 0.0000 1
Pm1 Pm 0.0000 0.5000 0.5000 1
Nd1 Nd 0.0000 0.1666 0.5000 1
S1 S 0.2474 0.5000 0.2476 1
S2 S 0.2503 0.1658 0.2484 1
```


No. 2
Below is a relaxed structure of ZnPd2Pt2, with properties calculated at the PBE level.

Results
**E_form**: -2.8 kJ per mole of atoms
**Theoretical density**: 13.36 g/cm3
**Polymorph energy (0 for the lowest one)**: 0.222 eV/atom
**Volume**: 16.62 Å³/atom

CIF file:
```
data_ZnPd2Pt2
_chemical_formula_sum 'Zn2 Pd4 Pt4'
_cell_length_a 6.5248
_cell_length_b 6.5248
_cell_length_c 3.9034
_cell_angle_alpha 90.00
_cell_angle_beta 90.00
_cell_angle_gamma 90.00
_symmetry_space_group_name_H-M 'P 4/m b m'
_symmetry_Int_Tables_number 127
_symmetry_space_group_name_Hall '-P 4 2ab'
loop_
_atom_site_label
_atom_site_type_symbol
_atom_site_fract_x
_atom_site_fract_y
_atom_site_fract_z
_atom_site_occupancy
Zn1 Zn 0.0000 0.0000 0.0000 1
Pd1 Pd 0.1585 0.3415 0.5000 1
Pt1 Pt 0.1436 0.6436 0.0000 1
```


No. 3
Below is a relaxed structure of Tm2PaBi3, with properties calculated at the PBE level.

Results
**E_form**: -50.5 kJ per mole of atoms
**Theoretical density**: 10.60 g/cm3
**Volume**: 31.22 Å³/atom

CIF file:
```
data_Tm2PaBi3
_chemical_formula_sum 'Tm4 Pa2 Bi6'
_cell_length_a 4.4606
_cell_length_b 4.4606
_cell_length_c 18.8268
_cell_angle_alpha 90.00
_cell_angle_beta 90.00
_cell_angle_gamma 90.00
_symmetry_space_group_name_H-M 'I 4/m m m'
_symmetry_Int_Tables_number 139
_symmetry_space_group_name_Hall '-I 4 2'
loop_
_atom_site_label
_atom_site_type_symbol
_atom_site_fract_x
_atom_site_fract_y
_atom_site_fract_z
_atom_site_occupancy
Tm1 Tm 0.0000 0.0000 0.1671 1
Pa1 Pa 0.0000 0.0000 0.5000 1
Bi1 Bi 0.0000 0.0000 0.0000 1
Bi2 Bi 0.0000 0.0000 0.3320 1
```


No. 4
Below is a relaxed structure of KLa2Fe, with properties calculated at the PBE level.

Results
**E_form**: 78.8 kJ per mole of atoms
**Theoretical density**: 4.85 g/cm3
**Polymorph energy (0 for the lowest one)**: 0.657 eV/atom
**Volume**: 31.88 Å³/atom

CIF file:
```
data_KLa2Fe
_chemical_formula_sum 'K2 La4 Fe2'
_cell_length_a 7.0322
_cell_length_b 11.7320
_cell_length_c 3.4025
_cell_angle_alpha 90.00
_cell_angle_beta 114.71
_cell_angle_gamma 90.00
_symmetry_space_group_name_H-M 'C 1 2/m 1'
_symmetry_Int_Tables_number 12
loop_
_symmetry_equiv_pos_as_xyz
'x,y,z'
'-x,-y,-z'
'-x,y,-z'
'x,-y,z'
'x+1/2,y+1/2,z'
'-x+1/2,-y+1/2,-z'
'-x+1/2,y+1/2,-z'
'x+1/2,-y+1/2,z'
loop_
_atom_site_label
_atom_site_type_symbol
_atom_site_fract_x
_atom_site_fract_y
_atom_site_fract_z
_atom_site_occupancy
K1 K 0.0000 0.0000 0.0000 1
La1 La 0.2500 0.2500 0.5000 1
Fe1 Fe 0.0000 0.5000 0.0000 1
```


No. 5
Below is a relaxed structure of Ac4CeSm3S8, with properties calculated at the PBE level.

Results
**Theoretical density**: 7.16 g/cm3
**Formation energy (no corrections)**: -2006.4 meV/atom
**Volume**: 25.45 Å³/atom

CIF file:
```
data_Ac4CeSm3S8
_chemical_formula_sum 'Ac12 Ce3 Sm9 S24'
_cell_length_a 8.2831
_cell_length_b 8.2831
_cell_length_c 20.5619
_cell_angle_alpha 90.00
_cell_angle_beta 90.00
_cell_angle_gamma 120.00
_symmetry_space_group_name_H-M 'R -3 m'
_symmetry_Int_Tables_number 166
_symmetry_space_group_name_Hall '-R 3 2"'
loop_
_atom_site_label
_atom_site_type_symbol
_atom_site_fract_x
_atom_site_fract_y
_atom_site_fract_z
_atom_site_occupancy
Ac1 Ac 0.0000 0.0000 0.0000 1
Ac2 Ac 0.0000 0.5000 0.0000 1
Ce1 Ce 0.0000 0.0000 0.5000 1
Sm1 Sm 0.0000 0.5000 0.5000 1
S1 S 0.0000 0.0000 0.2431 1
S2 S 0.0007 0.5003 0.7568 1
```


No. 6
Below is a relaxed structure of ThFeGe2Rh, with properties calculated at the PBE level.

Results
**E_form**: -64.8 kJ per mole of atoms
**Theoretical density**: 10.07 g/cm3
**Volume**: 17.69 Å³/atom

CIF file:
```
data_ThFeGe2Rh
_chemical_formula_sum 'Th2 Fe2 Ge4 Rh2'
_cell_length_a 4.1685
_cell_length_b 4.1685
_cell_length_c 10.1787
_cell_angle_alpha 90.00
_cell_angle_beta 90.00
_cell_angle_gamma 90.00
_symmetry_space_group_name_H-M 'I -4 m 2'
_symmetry_Int_Tables_number 119
_symmetry_space_group_name_Hall 'I -4 -2'
loop_
_atom_site_label
_atom_site_type_symbol
_atom_site_fract_x
_atom_site_fract_y
_atom_site_fract_z
_atom_site_occupancy
Th1 Th 0.0000 0.0000 0.0000 1
Fe1 Fe 0.0000 0.5000 0.2500 1
Ge1 Ge 0.0000 0.0000 0.3717 1
Rh1 Rh 0.0000 0.5000 0.7500 1
```


No. 7
Below is a relaxed structure of BaBe2Co, with properties calculated at the PBE level.

Results
**E_form**: 15.4 kJ per mole of atoms
**Theoretical density**: 4.89 g/cm3
**Polymorph energy (0 for the lowest one)**: 0.031 eV/atom
**Volume**: 18.18 Å³/atom

CIF file:
```
data_BaBe2Co
_chemical_formula_sum 'Ba3 Be6 Co3'
_cell_length_a 3.8642
_cell_length_b 3.8642
_cell_length_c 16.8746
_cell_angle_alpha 90.00
_cell_angle_beta 90.00
_cell_angle_gamma 120.00
_symmetry_space_group_name_H-M 'R -3 m'
_symmetry_Int_Tables_number 166
_symmetry_space_group_name_Hall '-R 3 2"'
loop_
_atom_site_label
_atom_site_type_symbol
_atom_site_fract_x
_atom_site_fract_y
_atom_site_fract_z
_atom_site_occupancy
Ba1 Ba 0.0000 0.0000 0.0000 1
Be1 Be 0.0000 0.0000 0.1792 1
Co1 Co 0.0000 0.0000 0.5000 1
```


No. 8
Below is a relaxed structure of Er5Al2Pb2, with properties calculated at the PBE level.

Results
**E_form**: -40.3 kJ per mole of atoms
**Theoretical density**: 8.82 g/cm3
**Volume**: 27.30 Å³/atom

CIF file:
```
data_Er5Al2Pb2
_chemical_formula_sum 'Er20 Al8 Pb8'
_cell_length_a 15.5878
_cell_length_b 8.0137
_cell_length_c 7.8687
_cell_angle_alpha 90.00
_cell_angle_beta 90.00
_cell_angle_gamma 90.00
_symmetry_space_group_name_H-M 'C m c e'
_symmetry_Int_Tables_number 64
_symmetry_space_group_name_Hall '-C 2ac 2'
loop_
_atom_site_label
_atom_site_type_symbol
_atom_site_fract_x
_atom_site_fract_y
_atom_site_fract_z
_atom_site_occupancy
Er1 Er 0.0000 0.0000 0.0000 1
Er2 Er 0.1321 0.1778 0.3246 1
Al1 Al 0.0000 0.1188 0.6201 1
Pb1 Pb 0.2123 0.0000 0.0000 1
```